(1)
## PrHo3Ni8 (PBE)

Data for an optimized crystal structure of PrHo3Ni8.

Cell and atoms, written as extended XYZ:
```
12
Lattice="5.1045 0.0000 0.0000 -2.5523 4.4206 0.0000 0.0000 0.0000 8.3136" Properties=species:S:1:pos:R:3 pbc="T T T"
Ni -1.2719 2.2127 6.2735
Ni 1.2606 3.6749 2.0457
Ni 0.0000 2.9471 4.1440
Ni -1.2606 3.6749 2.0457
Ni 0.0000 4.4158 6.2735
Ni 0.0000 1.4915 2.0457
Ni 1.2719 2.2127 6.2735
Ni 0.0000 2.9471 8.3023
Ho 0.0000 0.0000 7.8250
Ho 2.5523 1.4735 3.6010
Ho 2.5523 1.4735 0.5132
Pr 0.0000 0.0000 4.6955
```

Values from the calculation:
* formation enthalpy at 0 K: -451 kJ/mol of formula units
* symmetry: P3m1 (156)
* VASP energy: -5.787 eV per atom
* energy relative to the lowest polymorph listed for this composition: 25.7 meV per atom

(2)
## YZr4Se (PBE)

Data for an optimized crystal structure of YZr4Se.

Cell and atoms, written as extended XYZ:
```
6
Lattice="-3.5982 -1.7563 4.4183 -5.0248 -2.9587 -1.2450 -0.4616 -5.7904 1.3457" Properties=species:S:1:pos:R:3 pbc="T T T"
Zr -3.6089 -6.8848 2.3709
Zr -3.3708 -3.8980 1.6768
Zr -5.2269 -4.8040 3.9558
Zr -5.9627 -5.4242 1.0346
Se -6.8135 -7.8791 3.3892
Y 0.0000 0.0000 0.0000
```

Values from the calculation:
* symmetry: F-43m (216)
* formation energy from raw total energies: 0.24 eV per atom
* VASP energy: -7.113 eV per atom

(3)
## Ac12Tl6Hg (PBE)

Data for an optimized crystal structure of Ac12Tl6Hg.

Cell and atoms, written as extended XYZ:
```
19
Lattice="9.7377 -0.8034 -0.9624 -2.2704 9.5034 -0.9624 -2.2704 -2.6451 9.1784" Properties=species:S:1:pos:R:3 pbc="T T T"
Ac -2.4863 7.6372 1.9690
Ac 4.2541 8.4256 -0.6126
Ac 1.7207 6.3425 4.5411
Ac 7.6833 -1.5823 5.2846
Ac 7.9259 2.1696 -0.9270
Ac -2.7289 3.8853 8.1805
Ac -0.8113 2.0626 3.8226
Ac 6.0083 3.9923 3.4309
Ac 3.0352 2.2063 7.0518
Ac 0.9429 -2.3707 7.8661
Ac 2.1618 3.8485 0.2017
Ac 3.4763 -0.2876 2.7125
Tl -0.3599 5.0752 2.2549
Tl 5.0711 2.1447 0.8100
Tl 3.8459 6.2117 1.8571
Tl 1.3511 -0.1569 5.3965
Tl 0.1259 3.9102 6.4436
Tl 5.5569 0.9797 4.9987
Hg 0.0000 0.0000 0.0000
```

Values from the calculation:
* formation enthalpy at 0 K: -161 kJ/mol of formula units
* symmetry: R-3 (148)
* VASP energy: -3.446 eV per atom

(4)
## La8Hg2Os3 (PBE)

Data for an optimized crystal structure of La8Hg2Os3.

Cell and atoms, written as extended XYZ:
```
13
Lattice="5.1236 0.0000 0.0000 0.0000 8.7858 -4.9872 0.0000 -0.4845 9.2121" Properties=species:S:1:pos:R:3 pbc="T T T"
La 2.5618 7.5041 -2.3011
La 5.1236 0.8733 1.4917
La 0.0000 7.4280 2.7332
La 2.5618 0.7972 6.5260
La 2.5618 3.0015 0.2176
La 2.5618 5.2998 4.0073
La 0.0000 5.2407 -1.0544
La 0.0000 3.0606 5.2793
Hg 2.5618 2.0264 3.4565
Hg 2.5618 6.2749 0.7684
Os 2.5618 0.0000 0.0000
Os 5.1236 6.5409 -3.7076
Os 0.0000 1.7604 7.9325
```

Values from the calculation:
* formation enthalpy at 0 K: -197 kJ/mol of formula units
* symmetry: P2/m (10)
* VASP energy: -5.827 eV per atom

(5)
## CaHfC2S (PBE)

Data for an optimized crystal structure of CaHfC2S.

Cell and atoms, written as extended XYZ:
```
5
Lattice="4.4564 0.0000 0.0000 0.0000 4.5844 0.0000 0.0000 0.0000 4.4564" Properties=species:S:1:pos:R:3 pbc="T T T"
Hf 0.0000 2.2922 0.0000
Ca 2.2282 2.2922 2.2282
C 2.2282 0.0000 0.0000
C 0.0000 0.0000 2.2282
S 0.0000 0.0000 0.0000
```

Values from the calculation:
* symmetry: P4/mmm (123)
* formation energy from raw total energies: 1.81 eV per atom
* VASP energy: -5.095 eV per atom